# Rb2BeRhI6 PBE relaxed
data_Rb2BeRhI6
_cell_length_a 8.660
_cell_length_b 8.660
_cell_length_c 8.127
_cell_angle_alpha 57.80
_cell_angle_beta 57.80
_cell_angle_gamma 90.00
_space_group_name_H-M_alt 'P 1'
_space_group_IT_number 1
loop_
_space_group_symop_operation_xyz
'x,y,z'
loop_
_atom_site_label
_atom_site_fract_x
_atom_site_fract_y
_atom_site_fract_z
_atom_site_occupancy
I1 0.220 0.220 0.000 1
I2 0.780 0.780 0.000 1
I3 0.292 0.292 0.417 1
I4 0.780 0.220 0.000 1
I5 0.708 0.708 0.583 1
I6 0.220 0.780 0.000 1
Be1 0.500 0.500 0.000 1
Rh1 0.000 0.000 0.000 1
Rb1 0.250 0.750 0.500 1
Rb2 0.750 0.250 0.500 1
# **M_tot**: 0.100 μB/atom
# **E**: -28.5 eV per cell
# **Crystal system**: tetragonal


# Rb2BeRuI6 PBE relaxed
data_Rb2BeRuI6
_cell_length_a 8.675
_cell_length_b 8.675
_cell_length_c 8.184
_cell_angle_alpha 57.99
_cell_angle_beta 57.99
_cell_angle_gamma 90.00
_space_group_name_H-M_alt 'P 1'
_space_group_IT_number 1
loop_
_space_group_symop_operation_xyz
'x,y,z'
loop_
_atom_site_label
_atom_site_fract_x
_atom_site_fract_y
_atom_site_fract_z
_atom_site_occupancy
I1 0.294 0.294 0.412 1
I2 0.779 0.779 0.000 1
I3 0.221 0.779 0.000 1
I4 0.221 0.221 0.000 1
I5 0.706 0.706 0.588 1
I6 0.779 0.221 0.000 1
Rb1 0.250 0.750 0.500 1
Rb2 0.750 0.250 0.500 1
Be1 0.500 0.500 0.000 1
Ru1 0.000 0.000 0.000 1
# **M_tot**: 0.200 μB/atom
# **E**: -29.3 eV per cell
# **Crystal system**: tetragonal


# Rb2BeSbI6 PBE relaxed
data_Rb2BeSbI6
_cell_length_a 8.284
_cell_length_b 8.284
_cell_length_c 8.282
_cell_angle_alpha 59.99
_cell_angle_beta 59.99
_cell_angle_gamma 90.00
_space_group_name_H-M_alt 'P 1'
_space_group_IT_number 1
loop_
_space_group_symop_operation_xyz
'x,y,z'
loop_
_atom_site_label
_atom_site_fract_x
_atom_site_fract_y
_atom_site_fract_z
_atom_site_occupancy
I1 0.736 0.264 0.000 1
I2 0.736 0.736 0.000 1
I3 0.735 0.735 0.529 1
I4 0.264 0.264 0.000 1
I5 0.264 0.736 0.000 1
I6 0.265 0.265 0.471 1
Rb1 0.250 0.750 0.500 1
Rb2 0.750 0.250 0.500 1
Be1 0.500 0.500 0.000 1
Sb1 0.000 0.000 0.000 1
# **M_tot**: 0.000 μB/atom
# **E**: -25.6 eV per cell
# **Crystal system**: tetragonal


# RbBeSbI2 PBE relaxed
data_RbBeSbI2
_cell_length_a 6.906
_cell_length_b 6.906
_cell_length_c 7.694
_cell_angle_alpha 90.00
_cell_angle_beta 90.00
_cell_angle_gamma 90.00
_space_group_name_H-M_alt 'P 1'
_space_group_IT_number 1
loop_
_space_group_symop_operation_xyz
'x,y,z'
loop_
_atom_site_label
_atom_site_fract_x
_atom_site_fract_y
_atom_site_fract_z
_atom_site_occupancy
Rb1 0.000 0.000 0.000 1
Sb1 0.000 0.000 0.500 1
I1 0.500 0.000 0.000 1
I2 0.000 0.500 0.000 1
Be1 0.500 0.500 0.500 1
# **M_tot**: 0.668 μB/atom
# **Crystal system**: tetragonal
# **Distance to the lowest polymorph of the same formula**: 1.139 eV per atom


# RbBeSbI2 PBE relaxed
data_RbBeSbI2
_cell_length_a 6.024
_cell_length_b 6.024
_cell_length_c 4.710
_cell_angle_alpha 90.00
_cell_angle_beta 90.00
_cell_angle_gamma 90.00
_space_group_name_H-M_alt 'P 1'
_space_group_IT_number 1
loop_
_space_group_symop_operation_xyz
'x,y,z'
loop_
_atom_site_label
_atom_site_fract_x
_atom_site_fract_y
_atom_site_fract_z
_atom_site_occupancy
I1 0.500 0.000 0.000 1
I2 0.000 0.500 0.000 1
Be1 0.000 0.000 0.000 1
Sb1 0.000 0.000 0.500 1
Rb1 0.500 0.500 0.500 1
# **M_tot**: 0.000 μB/atom
# **Crystal system**: tetragonal
# **Distance to the lowest polymorph of the same formula**: 0.000 eV per atom


# Rb2ScBeI6 PBE relaxed
data_Rb2ScBeI6
_cell_length_a 8.177
_cell_length_b 8.177
_cell_length_c 8.199
_cell_angle_alpha 60.09
_cell_angle_beta 60.09
_cell_angle_gamma 90.00
_space_group_name_H-M_alt 'P 1'
_space_group_IT_number 1
loop_
_space_group_symop_operation_xyz
'x,y,z'
loop_
_atom_site_label
_atom_site_fract_x
_atom_site_fract_y
_atom_site_fract_z
_atom_site_occupancy
I1 0.746 0.746 0.000 1
I2 0.252 0.252 0.496 1
I3 0.746 0.254 0.000 1
I4 0.748 0.748 0.504 1
I5 0.254 0.746 0.000 1
I6 0.254 0.254 0.000 1
Rb1 0.750 0.250 0.500 1
Rb2 0.250 0.750 0.500 1
Sc1 0.000 0.000 0.000 1
Be1 0.500 0.500 0.000 1
# **M_tot**: 0.097 μB/atom
# **E**: -30.4 eV per cell
# **Crystal system**: tetragonal


# Rb2BeSiI6 PBE relaxed
data_Rb2BeSiI6
_cell_length_a 8.053
_cell_length_b 8.053
_cell_length_c 8.043
_cell_angle_alpha 59.96
_cell_angle_beta 59.96
_cell_angle_gamma 90.00
_space_group_name_H-M_alt 'P 1'
_space_group_IT_number 1
loop_
_space_group_symop_operation_xyz
'x,y,z'
loop_
_atom_site_label
_atom_site_fract_x
_atom_site_fract_y
_atom_site_fract_z
_atom_site_occupancy
Rb1 0.250 0.750 0.500 1
Rb2 0.750 0.250 0.500 1
Be1 0.500 0.500 0.000 1
I1 0.258 0.258 0.000 1
I2 0.258 0.742 0.000 1
I3 0.741 0.741 0.518 1
I4 0.742 0.742 0.000 1
I5 0.742 0.258 0.000 1
I6 0.259 0.259 0.482 1
Si1 0.000 0.000 0.000 1
# **M_tot**: 0.000 μB/atom
# **E**: -26.6 eV per cell
# **Crystal system**: tetragonal


# Rb2BeSnI6 PBE relaxed
data_Rb2BeSnI6
_cell_length_a 8.310
_cell_length_b 8.310
_cell_length_c 8.310
_cell_angle_alpha 60.00
_cell_angle_beta 60.00
_cell_angle_gamma 90.00
_space_group_name_H-M_alt 'P 1'
_space_group_IT_number 1
loop_
_space_group_symop_operation_xyz
'x,y,z'
loop_
_atom_site_label
_atom_site_fract_x
_atom_site_fract_y
_atom_site_fract_z
_atom_site_occupancy
Rb1 0.750 0.250 0.500 1
Rb2 0.250 0.750 0.500 1
I1 0.733 0.733 0.534 1
I2 0.267 0.733 0.000 1
I3 0.267 0.267 0.466 1
I4 0.733 0.733 0.000 1
I5 0.733 0.267 0.000 1
I6 0.267 0.267 0.000 1
Sn1 0.000 0.000 0.000 1
Be1 0.500 0.500 0.000 1
# **M_tot**: 0.000 μB/atom
# **E**: -26.6 eV per cell
# **Crystal system**: cubic


# RbBeSnI5 PBE relaxed
data_RbBeSnI5
_cell_length_a 8.511
_cell_length_b 8.511
_cell_length_c 11.357
_cell_angle_alpha 105.71
_cell_angle_beta 105.71
_cell_angle_gamma 104.63
_space_group_name_H-M_alt 'P 1'
_space_group_IT_number 1
loop_
_space_group_symop_operation_xyz
'x,y,z'
loop_
_atom_site_label
_atom_site_fract_x
_atom_site_fract_y
_atom_site_fract_z
_atom_site_occupancy
Be1 0.687 0.313 0.250 1
Be2 0.313 0.687 0.750 1
I1 0.592 0.758 0.925 1
I2 0.408 0.242 0.075 1
I3 0.670 0.099 0.357 1
I4 0.909 0.091 0.750 1
I5 0.242 0.408 0.575 1
I6 0.330 0.901 0.643 1
I7 0.901 0.330 0.143 1
I8 0.758 0.592 0.425 1
I9 0.099 0.670 0.857 1
I10 0.091 0.909 0.250 1
Rb1 0.644 0.356 0.750 1
Rb2 0.356 0.644 0.250 1
Sn1 0.000 0.000 0.000 1
Sn2 0.000 0.000 0.500 1
# **M_tot**: 0.000 μB/atom
# **E**: -44.8 eV per cell
# **Crystal system**: monoclinic


# Rb2TaBeI6 PBE relaxed
data_Rb2TaBeI6
_cell_length_a 8.020
_cell_length_b 8.020
_cell_length_c 8.145
_cell_angle_alpha 60.51
_cell_angle_beta 60.51
_cell_angle_gamma 90.00
_space_group_name_H-M_alt 'P 1'
_space_group_IT_number 1
loop_
_space_group_symop_operation_xyz
'x,y,z'
loop_
_atom_site_label
_atom_site_fract_x
_atom_site_fract_y
_atom_site_fract_z
_atom_site_occupancy
Ta1 0.000 0.000 0.000 1
Rb1 0.250 0.750 0.500 1
Rb2 0.750 0.250 0.500 1
I1 0.246 0.246 0.509 1
I2 0.255 0.745 0.000 1
I3 0.745 0.255 0.000 1
I4 0.754 0.754 0.491 1
I5 0.745 0.745 0.000 1
I6 0.255 0.255 0.000 1
Be1 0.500 0.500 0.000 1
# **M_tot**: 0.297 μB/atom
# **E**: -31.7 eV per cell
# **Crystal system**: tetragonal


# Rb2BeTcI PBE relaxed
data_Rb2BeTcI
_cell_length_a 6.743
_cell_length_b 5.156
_cell_length_c 6.743
_cell_angle_alpha 90.00
_cell_angle_beta 90.00
_cell_angle_gamma 90.00
_space_group_name_H-M_alt 'P 1'
_space_group_IT_number 1
loop_
_space_group_symop_operation_xyz
'x,y,z'
loop_
_atom_site_label
_atom_site_fract_x
_atom_site_fract_y
_atom_site_fract_z
_atom_site_occupancy
I1 0.000 0.500 0.000 1
Rb1 0.000 0.000 0.500 1
Rb2 0.500 0.000 0.000 1
Tc1 0.000 0.000 0.000 1
Be1 0.500 0.500 0.500 1
# **M_tot**: 0.402 μB/atom
# **E**: -12.1 eV per cell
# **Crystal system**: tetragonal


# Rb2BeTcI6 PBE relaxed
data_Rb2BeTcI6
_cell_length_a 8.688
_cell_length_b 8.688
_cell_length_c 8.303
_cell_angle_alpha 58.46
_cell_angle_beta 58.46
_cell_angle_gamma 90.00
_space_group_name_H-M_alt 'P 1'
_space_group_IT_number 1
loop_
_space_group_symop_operation_xyz
'x,y,z'
loop_
_atom_site_label
_atom_site_fract_x
_atom_site_fract_y
_atom_site_fract_z
_atom_site_occupancy
I1 0.777 0.777 0.000 1
I2 0.701 0.701 0.597 1
I3 0.777 0.223 0.000 1
I4 0.299 0.299 0.403 1
I5 0.223 0.223 0.000 1
I6 0.223 0.777 0.000 1
Rb1 0.250 0.750 0.500 1
Rb2 0.750 0.250 0.500 1
Be1 0.500 0.500 0.000 1
Tc1 0.000 0.000 0.000 1
# **M_tot**: 0.300 μB/atom
# **E**: -30.3 eV per cell
# **Crystal system**: tetragonal


# RbBeTeI2 PBE relaxed
data_RbBeTeI2
_cell_length_a 6.985
_cell_length_b 7.165
_cell_length_c 6.985
_cell_angle_alpha 90.00
_cell_angle_beta 90.00
_cell_angle_gamma 90.00
_space_group_name_H-M_alt 'P 1'
_space_group_IT_number 1
loop_
_space_group_symop_operation_xyz
'x,y,z'
loop_
_atom_site_label
_atom_site_fract_x
_atom_site_fract_y
_atom_site_fract_z
_atom_site_occupancy
I1 0.500 0.000 0.000 1
I2 0.000 0.000 0.500 1
Rb1 0.000 0.000 0.000 1
Be1 0.500 0.500 0.500 1
Te1 0.000 0.500 0.000 1
# **M_tot**: 0.600 μB/atom
# **Crystal system**: tetragonal
# **Distance to the lowest polymorph of the same formula**: 1.194 eV per atom


# RbBeTeI2 PBE relaxed
data_RbBeTeI2
_cell_length_a 5.925
_cell_length_b 5.925
_cell_length_c 4.856
_cell_angle_alpha 90.00
_cell_angle_beta 90.00
_cell_angle_gamma 90.00
_space_group_name_H-M_alt 'P 1'
_space_group_IT_number 1
loop_
_space_group_symop_operation_xyz
'x,y,z'
loop_
_atom_site_label
_atom_site_fract_x
_atom_site_fract_y
_atom_site_fract_z
_atom_site_occupancy
Te1 0.000 0.000 0.500 1
I1 0.500 0.000 0.000 1
I2 0.000 0.500 0.000 1
Be1 0.000 0.000 0.000 1
Rb1 0.500 0.500 0.500 1
# **M_tot**: 0.000 μB/atom
# **Crystal system**: tetragonal
# **Distance to the lowest polymorph of the same formula**: 0.000 eV per atom


# RbBeTe2I PBE relaxed
data_RbBeTe2I
_cell_length_a 4.955
_cell_length_b 4.955
_cell_length_c 7.348
_cell_angle_alpha 90.00
_cell_angle_beta 90.00
_cell_angle_gamma 90.00
_space_group_name_H-M_alt 'P 1'
_space_group_IT_number 1
loop_
_space_group_symop_operation_xyz
'x,y,z'
loop_
_atom_site_label
_atom_site_fract_x
_atom_site_fract_y
_atom_site_fract_z
_atom_site_occupancy
I1 0.000 0.000 0.500 1
Rb1 0.500 0.500 0.500 1
Be1 0.000 0.000 0.000 1
Te1 0.000 0.500 0.000 1
Te2 0.500 0.000 0.000 1
# **M_tot**: 0.000 μB/atom
# **Crystal system**: tetragonal
# **Distance to the lowest polymorph of the same formula**: 0.000 eV per atom


# RbBeTe2I PBE relaxed
data_RbBeTe2I
_cell_length_a 7.117
_cell_length_b 7.117
_cell_length_c 6.846
_cell_angle_alpha 90.00
_cell_angle_beta 90.00
_cell_angle_gamma 90.00
_space_group_name_H-M_alt 'P 1'
_space_group_IT_number 1
loop_
_space_group_symop_operation_xyz
'x,y,z'
loop_
_atom_site_label
_atom_site_fract_x
_atom_site_fract_y
_atom_site_fract_z
_atom_site_occupancy
I1 0.000 0.000 0.500 1
Te1 0.500 0.000 0.000 1
Te2 0.000 0.500 0.000 1
Be1 0.500 0.500 0.500 1
Rb1 0.000 0.000 0.000 1
# **M_tot**: 0.807 μB/atom
# **Crystal system**: tetragonal
# **Distance to the lowest polymorph of the same formula**: 1.356 eV per atom


# Rb2BeTeI6 PBE relaxed
data_Rb2BeTeI6
_cell_length_a 8.939
_cell_length_b 8.939
_cell_length_c 8.681
_cell_angle_alpha 59.01
_cell_angle_beta 59.01
_cell_angle_gamma 90.00
_space_group_name_H-M_alt 'P 1'
_space_group_IT_number 1
loop_
_space_group_symop_operation_xyz
'x,y,z'
loop_
_atom_site_label
_atom_site_fract_x
_atom_site_fract_y
_atom_site_fract_z
_atom_site_occupancy
I1 0.688 0.688 0.623 1
I2 0.235 0.765 0.000 1
I3 0.235 0.235 0.000 1
I4 0.312 0.312 0.377 1
I5 0.765 0.235 0.000 1
I6 0.765 0.765 0.000 1
Rb1 0.750 0.250 0.500 1
Rb2 0.250 0.750 0.500 1
Be1 0.500 0.500 0.000 1
Te1 0.000 0.000 0.000 1
# **M_tot**: 0.000 μB/atom
# **E**: -24.7 eV per cell
# **Crystal system**: tetragonal


# Rb2TiBeI6 PBE relaxed
data_Rb2TiBeI6
_cell_length_a 8.787
_cell_length_b 8.787
_cell_length_c 8.172
_cell_angle_alpha 57.48
_cell_angle_beta 57.48
_cell_angle_gamma 90.00
_space_group_name_H-M_alt 'P 1'
_space_group_IT_number 1
loop_
_space_group_symop_operation_xyz
'x,y,z'
loop_
_atom_site_label
_atom_site_fract_x
_atom_site_fract_y
_atom_site_fract_z
_atom_site_occupancy
I1 0.230 0.770 0.000 1
I2 0.288 0.288 0.423 1
I3 0.770 0.770 0.000 1
I4 0.770 0.230 0.000 1
I5 0.712 0.712 0.577 1
I6 0.230 0.230 0.000 1
Ti1 0.000 0.000 0.000 1
Be1 0.500 0.500 0.000 1
Rb1 0.250 0.750 0.500 1
Rb2 0.750 0.250 0.500 1
# **M_tot**: 0.200 μB/atom
# **E**: -30.5 eV per cell
# **Crystal system**: tetragonal


# Rb2BeTlI6 PBE relaxed
data_Rb2BeTlI6
_cell_length_a 8.337
_cell_length_b 8.337
_cell_length_c 8.348
_cell_angle_alpha 60.04
_cell_angle_beta 60.04
_cell_angle_gamma 90.00
_space_group_name_H-M_alt 'P 1'
_space_group_IT_number 1
loop_
_space_group_symop_operation_xyz
'x,y,z'
loop_
_atom_site_label
_atom_site_fract_x
_atom_site_fract_y
_atom_site_fract_z
_atom_site_occupancy
I1 0.269 0.269 0.462 1
I2 0.731 0.731 0.538 1
I3 0.270 0.730 0.000 1
I4 0.270 0.270 0.000 1
I5 0.730 0.270 0.000 1
I6 0.730 0.730 0.000 1
Rb1 0.750 0.250 0.500 1
Rb2 0.250 0.750 0.500 1
Be1 0.500 0.500 0.000 1
Tl1 0.000 0.000 0.000 1
# **M_tot**: 0.000 μB/atom
# **E**: -24.6 eV per cell
# **Crystal system**: tetragonal


# RbBeTlI4 PBE relaxed
data_RbBeTlI4
_cell_length_a 7.768
_cell_length_b 7.754
_cell_length_c 10.489
_cell_angle_alpha 90.00
_cell_angle_beta 106.05
_cell_angle_gamma 90.00
_space_group_name_H-M_alt 'P 1'
_space_group_IT_number 1
loop_
_space_group_symop_operation_xyz
'x,y,z'
loop_
_atom_site_label
_atom_site_fract_x
_atom_site_fract_y
_atom_site_fract_z
_atom_site_occupancy
I1 0.416 0.750 0.151 1
I2 0.322 0.750 0.514 1
I3 0.995 0.997 0.213 1
I4 0.005 0.003 0.787 1
I5 0.678 0.250 0.486 1
I6 0.005 0.497 0.787 1
I7 0.584 0.250 0.849 1
I8 0.995 0.503 0.213 1
Be1 0.197 0.750 0.276 1
Be2 0.803 0.250 0.724 1
Tl1 0.737 0.750 0.945 1
Tl2 0.263 0.250 0.055 1
Rb1 0.783 0.750 0.462 1
Rb2 0.217 0.250 0.538 1
# **M_tot**: 0.000 μB/atom
# **E**: -38.7 eV per cell
# **Crystal system**: monoclinic